No. 1
4
Lattice="2.777 0.000 0.000 0.000 3.866 0.000 0.000 0.000 5.627" Properties=species:S:1:pos:R:3 comment="CdCuPt2 | Alexandria | PBEsol | optimized geometry" e_tot_ev_per_atom=-4.996 pbc="T T T"
Cu 1.388 1.933 4.332
Pt 0.000 0.000 5.537
Pt 1.388 1.933 1.372
Cd 0.000 0.000 2.827



No. 2
4
Lattice="-1.388 2.064 -1.152 0.054 0.338 -2.720 -7.684 -4.518 -2.094" Properties=species:S:1:pos:R:3 comment="MgBeMo2 | Alexandria | PBEsol | optimized geometry" de_polymorph_mev_per_atom=205 pbc="T T T"
Mo -6.592 -1.462 -4.455
Mg 0.000 0.000 0.000
Mo -2.426 -0.655 -1.510
Be -4.509 -1.058 -2.983